## TePH (PBE)

Data for a relaxed TePH crystal. Values from VASP.

Quantum ESPRESSO input file:
```
&SYSTEM
  ibrav = 0, nat = 12, ntyp = 3
/
ATOMIC_SPECIES
H 1.01 H.upf
P 30.97 P.upf
Te 127.60 Te.upf
ATOMIC_POSITIONS crystal
H 0.990 0.000 0.618
H 0.139 0.500 0.487
H 0.990 0.500 0.118
H 0.139 0.000 0.987
P 0.415 0.500 0.473
P 0.415 0.000 0.973
P 0.362 0.500 0.883
P 0.362 0.000 0.383
Te 0.834 0.000 0.329
Te 0.309 0.000 0.654
Te 0.834 0.500 0.829
Te 0.309 0.500 0.154
CELL_PARAMETERS angstrom
5.048 0.000 0.032
0.000 3.229 0.000
-1.376 0.000 17.128
```

As for the total magnetization: 0.000 μB/cell. The total energy comes out at -46.02 eV for the cell shown. As for the space group: Cm (8).

---

## Pm6TlSi2 (PBE)

Data for a relaxed Pm6TlSi2 crystal. Values from VASP.

Quantum ESPRESSO input file:
```
&SYSTEM
  ibrav = 0, nat = 18, ntyp = 3
/
ATOMIC_SPECIES
Pm 145.00 Pm.upf
Tl 204.38 Tl.upf
Si 28.09 Si.upf
ATOMIC_POSITIONS crystal
Pm 0.093 0.278 0.815
Pm 0.296 0.975 0.680
Pm 0.537 0.722 0.815
Pm 0.794 0.239 0.033
Pm 0.463 0.278 0.185
Pm 0.704 0.025 0.320
Pm 0.704 0.384 0.680
Pm 0.296 0.616 0.320
Pm 0.206 0.761 0.967
Pm 0.794 0.761 0.555
Pm 0.206 0.239 0.445
Pm 0.907 0.722 0.185
Tl 0.000 0.000 0.000
Tl 0.000 0.500 0.500
Si 0.374 0.000 0.374
Si 0.500 0.613 0.113
Si 0.626 0.000 0.626
Si 0.500 0.387 0.887
CELL_PARAMETERS angstrom
8.257 -0.029 -2.965
-4.404 7.170 -2.481
-0.047 0.029 8.773
```

The value obtained for the energy relative to the elements, uncorrected is -473 meV per atom. As for the total magnetization: 0.000 μB/cell. As for the space group: Immm (71).

---

## La8MgIr2 (PBE)

Data for a relaxed La8MgIr2 crystal. Values from VASP.

Quantum ESPRESSO input file:
```
&SYSTEM
  ibrav = 0, nat = 11, ntyp = 3
/
ATOMIC_SPECIES
Ir 192.22 Ir.upf
La 138.91 La.upf
Mg 24.30 Mg.upf
ATOMIC_POSITIONS crystal
Ir 0.624 0.820 0.820
Ir 0.376 0.180 0.180
La 0.706 0.579 0.193
La 0.691 0.121 0.121
La 0.309 0.879 0.879
La 0.294 0.807 0.421
La 0.811 0.672 0.672
La 0.189 0.328 0.328
La 0.706 0.193 0.579
La 0.294 0.421 0.807
Mg 0.000 0.000 0.000
CELL_PARAMETERS angstrom
7.372 -0.763 -0.579
-1.672 7.582 0.247
-1.672 2.280 7.236
```

As for the total magnetization: 0.000 μB/cell. As for the space group: C2/m (12). The calculation puts the formation enthalpy at 0 K at -0.245 eV/atom.